Entry from the Alexandria database: a relaxed structure of Li3Al2 (GGA-PBE).

Lattice parameters (Å, degrees): 11.734 11.734 11.734 14.30 14.30 14.30
Fractional positions:
Li1 0.000 0.000 0.000
Li2 0.204 0.204 0.204
Li3 0.796 0.796 0.796
Al1 0.399 0.399 0.399
Al2 0.601 0.601 0.601

Computed properties:
Space-group type = R-3m (166)
DFT total energy = -13.3 eV for the cell shown
Formation enthalpy at 0 K = -10 kJ/mol of formula units